Record 1
First-principles (PBE) data for crystalline Pr2Sm2I7 at its relaxed geometry, as listed in Alexandria.

Output
Uncorrected energy ... -41.088 eV/cell
Uncorrected formation energy ... -99 kJ/mol of atoms
Size of the total moment ... 1.21 μB/f.u.

a = 8.2008 Å, b = 8.2008 Å, c = 8.3135 Å
α = 91.21°, β = 91.21°, γ = 110.80°
Fractional positions:
Pr 0.1376 0.8624 0.0000
Pr 0.8624 0.1376 0.0000
Sm 0.1950 0.1950 0.3500
Sm 0.8050 0.8050 0.6500
I 0.0887 0.4860 0.2145
I 0.1377 0.1377 0.7280
I 0.4860 0.0887 0.2145
I 0.5000 0.5000 0.5000
I 0.5140 0.9113 0.7855
I 0.8623 0.8623 0.2720
I 0.9113 0.5140 0.7855

=====

Record 2
First-principles (PBE) data for crystalline Pr3Sm5I12 at its relaxed geometry, as listed in Alexandria.

Output
Uncorrected energy ... -282.170 eV/cell
Uncorrected formation energy ... -68 kJ/mol of atoms
Size of the total moment ... 0.06 μB/f.u.

a = 16.0909 Å, b = 16.0909 Å, c = 16.0909 Å
α = 109.47°, β = 109.47°, γ = 109.47°
Fractional positions:
Pr 0.1250 0.2500 0.3750
Pr 0.1250 0.3750 0.7500
Pr 0.2500 0.3750 0.1250
Pr 0.2500 0.8750 0.6250
Pr 0.3750 0.1250 0.2500
Pr 0.3750 0.7500 0.1250
Pr 0.6250 0.2500 0.8750
Pr 0.6250 0.8750 0.7500
Pr 0.7500 0.1250 0.3750
Pr 0.7500 0.6250 0.8750
Pr 0.8750 0.6250 0.2500
Pr 0.8750 0.7500 0.6250
Sm 0.0000 0.0000 0.0000
Sm 0.0000 0.0000 0.5000
Sm 0.0000 0.5000 0.0000
Sm 0.0000 0.5000 0.5000
Sm 0.1250 0.7500 0.8750
Sm 0.1250 0.8750 0.2500
Sm 0.2500 0.1250 0.8750
Sm 0.2500 0.6250 0.3750
Sm 0.3750 0.2500 0.6250
Sm 0.3750 0.6250 0.7500
Sm 0.5000 0.0000 0.0000
Sm 0.5000 0.0000 0.5000
Sm 0.5000 0.5000 0.0000
Sm 0.5000 0.5000 0.5000
Sm 0.6250 0.3750 0.2500
Sm 0.6250 0.7500 0.3750
Sm 0.7500 0.3750 0.6250
Sm 0.7500 0.8750 0.1250
Sm 0.8750 0.1250 0.7500
Sm 0.8750 0.2500 0.1250
I 0.0552 0.2240 0.1342
I 0.0552 0.3313 0.9211
I 0.0789 0.6342 0.4102
I 0.0789 0.9448 0.6687
I 0.0898 0.7240 0.6687
I 0.0898 0.8658 0.4211
I 0.1342 0.0552 0.2240
I 0.1342 0.5789 0.9102
I 0.1687 0.2240 0.5898
I 0.1687 0.4448 0.5789
I 0.2240 0.1342 0.0552
I 0.2240 0.5898 0.1687
I 0.2760 0.3313 0.9102
I 0.2760 0.4448 0.3658
I 0.3313 0.9102 0.2760
I 0.3313 0.9211 0.0552
I 0.3658 0.2760 0.4448
I 0.3658 0.5898 0.9211
I 0.4102 0.0789 0.6342
I 0.4102 0.8313 0.7760
I 0.4211 0.0898 0.8658
I 0.4211 0.8313 0.5552
I 0.4448 0.3658 0.2760
I 0.4448 0.5789 0.1687
I 0.5552 0.4211 0.8313
I 0.5552 0.6342 0.7240
I 0.5789 0.1687 0.4448
I 0.5789 0.9102 0.1342
I 0.5898 0.1687 0.2240
I 0.5898 0.9211 0.3658
I 0.6342 0.4102 0.0789
I 0.6342 0.7240 0.5552
I 0.6687 0.0789 0.9448
I 0.6687 0.0898 0.7240
I 0.7240 0.5552 0.6342
I 0.7240 0.6687 0.0898
I 0.7760 0.4102 0.8313
I 0.7760 0.8658 0.9448
I 0.8313 0.5552 0.4211
I 0.8313 0.7760 0.4102
I 0.8658 0.4211 0.0898
I 0.8658 0.9448 0.7760
I 0.9102 0.1342 0.5789
I 0.9102 0.2760 0.3313
I 0.9211 0.0552 0.3313
I 0.9211 0.3658 0.5898
I 0.9448 0.6687 0.0789
I 0.9448 0.7760 0.8658